Cr2NiOs PBE-GGA relaxed; total energy = -8.36 eV per atom; SG = I-42d; Fermi-level density of states = 10.2 states/eV per cell; formation enthalpy at 0 K = 705 meV per atom
1.0
-3.270 3.270 2.507
3.270 -3.270 2.507
3.270 3.270 -2.507
Cr Ni Os
4 2 2
Direct
0.120 0.625 0.995
0.375 0.370 0.495
0.630 0.125 0.005
0.875 0.880 0.505
0.250 0.750 0.500
0.500 0.500 0.000
0.000 0.000 0.000
0.750 0.250 0.500